The following is a DFT calculation (PBE with a Hubbard U) of a relaxed structure of BeCoH2F.

The structure in POSCAR format:
```
BeCoH2F
1.0
3.002 0.000 0.000
0.000 3.002 0.000
0.000 0.000 5.019
Be Co H F
1 1 2 1
direct
0.000 0.000 0.000
0.000 0.000 0.500
0.000 0.500 0.000
0.500 0.000 0.000
0.500 0.500 0.500
```

Values from the calculation:
The density of states at the Fermi level is 0.21 states/eV/atom. The total energy comes out at -17.66 eV per cell. The volume comes out at 45.2 Å³ per cell.